Entry 1:
DFT (PBE) results for an optimized crystal structure of TbGe2Ru.

Cell and atoms, written as extended XYZ:
```
16
Lattice="6.7847 0.0000 0.0000 0.0000 4.2815 0.0000 0.0000 0.0000 11.0241" Properties=species:S:1:pos:R:3 pbc="T T T"
Tb 0.5003 1.0704 1.6352
Tb 2.8920 3.2111 7.1473
Tb 3.8926 1.0704 3.8768
Tb 6.2844 3.2111 9.3889
Ge 1.0892 1.0704 8.1350
Ge 1.5227 1.0704 5.5575
Ge 1.8697 3.2111 0.0455
Ge 2.3031 3.2111 2.6230
Ge 4.4816 1.0704 8.4011
Ge 4.9150 1.0704 10.9786
Ge 5.2620 3.2111 5.4666
Ge 5.6954 3.2111 2.8891
Ru 0.8178 3.2111 4.5680
Ru 2.5746 1.0704 10.0801
Ru 4.2101 3.2111 0.9440
Ru 5.9669 1.0704 6.4560
```

Values from the calculation:
The value obtained for the density of states at the Fermi level is 2.97 states/eV/f.u. The crystal system is orthorhombic. The symmetry is Pnma. The value obtained for the total energy is -6.233 eV per atom. The energy of formation from the pure elements comes out at -0.447 eV per atom.


Entry 2:
DFT (PBE) results for an optimized crystal structure of Tb4GeRu.

Cell and atoms, written as extended XYZ:
```
12
Lattice="6.0182 0.0000 0.0000 0.0000 6.5281 0.0000 -2.9083 0.0000 7.8798" Properties=species:S:1:pos:R:3 pbc="T T T"
Tb -0.6421 0.0043 1.8731
Tb -0.6421 3.2598 1.8731
Tb 0.7359 1.6320 4.9036
Tb 2.3125 1.6320 0.7453
Tb 0.7974 4.8961 7.1344
Tb 2.3740 4.8961 2.9762
Tb 3.7520 3.2683 6.0066
Tb 3.7520 6.5238 6.0066
Ge -0.2845 4.8961 4.3676
Ge 3.3944 1.6320 3.5121
Ru 1.1729 4.8961 0.4573
Ru 1.9370 1.6320 7.4225
```

Values from the calculation:
The value obtained for the density of states at the Fermi level is 3.47 states/eV/f.u. The crystal system is monoclinic. The symmetry is P2_1/m. The value obtained for the total energy is -5.864 eV per atom. The energy of formation from the pure elements comes out at -0.462 eV per atom.


Entry 3:
DFT (PBE) results for an optimized crystal structure of Tb3Ge2Ru2.

Cell and atoms, written as extended XYZ:
```
28
Lattice="5.5714 0.0000 0.0000 0.0000 7.7620 0.0000 0.0000 0.0000 13.6126" Properties=species:S:1:pos:R:3 pbc="T T T"
Tb 0.7071 1.8118 3.4032
Tb 0.7071 2.0692 10.2095
Tb 1.9477 4.6359 1.3500
Tb 1.9477 4.6359 5.4564
Tb 1.9477 7.0072 8.1563
Tb 1.9477 7.0072 12.2627
Tb 3.6236 0.7549 1.3500
Tb 3.6236 0.7549 5.4564
Tb 3.6236 3.1262 8.1563
Tb 3.6236 3.1262 12.2627
Tb 4.8643 5.6928 3.4032
Tb 4.8643 5.9502 10.2095
Ge 0.6953 1.9405 0.0000
Ge 0.6953 1.9405 6.8063
Ge 2.0738 4.7673 10.2095
Ge 2.0738 6.8757 3.4032
Ge 3.4976 0.8863 10.2095
Ge 3.4976 2.9947 3.4032
Ge 4.8761 5.8215 0.0000
Ge 4.8761 5.8215 6.8063
Ru 0.8226 4.1322 8.0499
Ru 0.8226 4.1322 12.3691
Ru 0.8226 7.5108 1.2436
Ru 0.8226 7.5108 5.5628
Ru 4.7488 0.2512 8.0499
Ru 4.7488 0.2512 12.3691
Ru 4.7488 3.6298 1.2436
Ru 4.7488 3.6298 5.5628
```

Values from the calculation:
The value obtained for the density of states at the Fermi level is 3.60 states/eV/f.u. The crystal system is orthorhombic. The symmetry is Pbcm. The value obtained for the total energy is -6.652 eV per atom. The energy of formation from the pure elements comes out at -0.698 eV per atom.